No. 1
Density functional theory data (PBE) for an optimized crystal structure of Ac3AgPdRh. Values from VASP.

space-group type: P2_1/m (11)
energy of formation: -10.78 kcal/mol of atoms

Quantum ESPRESSO input file:
```
&SYSTEM
  ibrav = 0, nat = 12, ntyp = 4
/
ATOMIC_SPECIES
Rh 102.91 Rh.upf
Pd 106.42 Pd.upf
Ac 227.00 Ac.upf
Ag 107.87 Ag.upf
ATOMIC_POSITIONS crystal
Rh 0.750 0.279 0.815
Rh 0.250 0.721 0.185
Pd 0.750 0.902 0.416
Pd 0.250 0.098 0.584
Ac 0.250 0.531 0.856
Ac 0.750 0.919 0.135
Ac 0.250 0.081 0.865
Ac 0.250 0.707 0.486
Ac 0.750 0.293 0.514
Ac 0.750 0.469 0.144
Ag 0.750 0.749 0.752
Ag 0.250 0.251 0.248
CELL_PARAMETERS angstrom
-3.561 2.434 -0.757
-3.130 -2.112 7.935
5.820 8.499 -0.052
```

=====

No. 2
Density functional theory data (PBE) for an optimized crystal structure of Y7Os6. Values from VASP.

space-group type: R-3m (166)
energy of formation: 19.50 kcal/mol of atoms

Quantum ESPRESSO input file:
```
&SYSTEM
  ibrav = 0, nat = 13, ntyp = 2
/
ATOMIC_SPECIES
Os 190.23 Os.upf
Y 88.91 Y.upf
ATOMIC_POSITIONS crystal
Os 0.135 0.135 0.135
Os 0.666 0.666 0.666
Os 0.050 0.050 0.050
Os 0.334 0.334 0.334
Os 0.865 0.865 0.865
Os 0.950 0.950 0.950
Y 0.073 0.579 0.579
Y 0.421 0.927 0.421
Y 0.579 0.073 0.579
Y 0.579 0.579 0.073
Y 0.500 0.500 0.500
Y 0.421 0.421 0.927
Y 0.927 0.421 0.421
CELL_PARAMETERS angstrom
-7.985 -5.760 1.111
-5.220 -7.372 -4.072
-3.058 -9.338 1.273
```

=====

No. 3
Density functional theory data (PBE) for an optimized crystal structure of YThAu2. Values from VASP.

space-group type: Pm (6)
E above lowest polymorph: 0.00 kcal/mol of atoms
energy of formation: -17.30 kcal/mol of atoms

Quantum ESPRESSO input file:
```
&SYSTEM
  ibrav = 0, nat = 4, ntyp = 3
/
ATOMIC_SPECIES
Au 196.97 Au.upf
Th 232.04 Th.upf
Y 88.91 Y.upf
ATOMIC_POSITIONS crystal
Au 0.171 0.500 0.883
Au 0.992 0.000 0.523
Th 0.446 0.500 0.431
Y 0.721 0.000 0.981
CELL_PARAMETERS angstrom
-0.279 -2.999 2.462
0.828 -2.970 -3.524
5.644 1.830 -0.215
```

=====

No. 4
Density functional theory data (PBE) for an optimized crystal structure of YRu2Cl. Values from VASP.

space-group type: I-42d (122)
E above lowest polymorph: 15.28 kcal/mol of atoms
formation energy without anion corrections: 0.34 eV/atom

Quantum ESPRESSO input file:
```
&SYSTEM
  ibrav = 0, nat = 8, ntyp = 3
/
ATOMIC_SPECIES
Ru 101.07 Ru.upf
Cl 35.45 Cl.upf
Y 88.91 Y.upf
ATOMIC_POSITIONS crystal
Ru 0.875 0.795 0.750
Ru 0.545 0.125 0.250
Ru 0.375 0.455 0.750
Ru 0.205 0.625 0.250
Cl 0.250 0.750 0.500
Cl 0.500 0.500 0.000
Y 0.000 0.000 0.000
Y 0.750 0.250 0.500
CELL_PARAMETERS angstrom
-3.304 6.267 -2.274
-4.771 -3.995 -4.078
-5.694 1.010 -1.115
```

=====

Number 1: size of the total moment 0.00 μB per formula unit. Number 2: size of the total moment 0.00 μB per formula unit. Number 3: size of the total moment 0.00 μB per formula unit. Number 4: size of the total moment 0.00 μB per formula unit.